1.
VASP calculation (PBE-GGA) on an optimized crystal structure of ZrRe5Tc.

Computed properties:
**Formation energy**: 0.0 eV per formula unit
**Uncorrected energy**: -11.59 eV/atom

Unit cell a=5.1513 b=8.4727 c=10.7562 alpha=90.00 beta=90.00 gamma=90.00
Closest atoms and distances in Å follow each position.
Positions (direct):
Re: 0.2500 0.0824 0.4777  5 Re 2.63-2.65
Re: 0.7500 0.9176 0.5223  5 Re 2.63-2.65
Re: 0.2500 0.5824 0.0223  5 Re 2.63-2.65
Re: 0.7500 0.0756 0.9235  1 Tc 2.51, 2 Re 2.81
Re: 0.2500 0.1818 0.2441  6 Re 2.52-2.82, 2 Tc 2.79
Re: 0.2500 0.9244 0.0765  1 Tc 2.51, 2 Re 2.81
Re: 0.4910 0.0734 0.6941  6 Re 2.48-2.67, 2 Tc 2.74-2.78
Re: 0.7500 0.5756 0.5765  1 Tc 2.51, 2 Re 2.81
Re: 0.0090 0.0734 0.6941  6 Re 2.48-2.67, 2 Tc 2.74-2.78
Re: 0.0090 0.5734 0.8059  6 Re 2.48-2.67, 2 Tc 2.74-2.78
Re: 0.2500 0.6818 0.2559  6 Re 2.52-2.82, 2 Tc 2.79
Re: 0.7500 0.4176 0.9777  5 Re 2.63-2.65
Re: 0.9910 0.4266 0.1941  6 Re 2.48-2.67, 2 Tc 2.74-2.78
Re: 0.7500 0.3182 0.7441  6 Re 2.52-2.82, 2 Tc 2.79
Re: 0.5090 0.9266 0.3059  6 Re 2.48-2.67, 2 Tc 2.74-2.78
Re: 0.2500 0.4244 0.4235  1 Tc 2.51, 2 Re 2.81
Re: 0.9910 0.9266 0.3059  6 Re 2.48-2.67, 2 Tc 2.74-2.78
Re: 0.4910 0.5734 0.8059  6 Re 2.48-2.67, 2 Tc 2.74-2.78
Re: 0.5090 0.4266 0.1941  6 Re 2.48-2.67, 2 Tc 2.74-2.78
Re: 0.7500 0.8182 0.7559  6 Re 2.52-2.82, 2 Tc 2.79
Zr: 0.2500 0.7302 0.5545  7 Re 2.90-3.24
Zr: 0.7500 0.2698 0.4455  7 Re 2.90-3.24
Zr: 0.2500 0.2302 0.9455  7 Re 2.90-3.24
Zr: 0.7500 0.7698 0.0545  7 Re 2.90-3.24
Tc: 0.7500 0.6380 0.3485  7 Re 2.51-2.79
Tc: 0.2500 0.8620 0.8485  7 Re 2.51-2.79
Tc: 0.7500 0.1380 0.1515  7 Re 2.51-2.79
Tc: 0.2500 0.3620 0.6515  7 Re 2.51-2.79

***

2.
VASP calculation (PBE-GGA) on an optimized crystal structure of CaNb2H.

Computed properties:
**Energy above the most stable polymorph in this dataset**: 92.3 meV per atom
**Uncorrected energy**: -6.22 eV/atom

Unit cell a=5.0315 b=11.5756 c=5.0340 alpha=90.00 beta=94.20 gamma=90.00
Closest atoms and distances in Å follow each position.
Positions (direct):
Ca: 0.2459 0.0613 0.7493  1 H 2.23
Ca: 0.7541 0.5613 0.7507  1 H 2.23
Ca: 0.2459 0.5613 0.2493  1 H 2.23
Ca: 0.7541 0.0613 0.2507  1 H 2.23
H: 0.5000 0.4540 0.0000  2 Nb 2.00, 2 Ca 2.23
H: 0.0000 0.2634 0.5000  4 Nb 1.98-2.08
H: 0.5000 0.9540 0.5000  2 Nb 2.00, 2 Ca 2.23
H: 0.0000 0.7634 0.0000  4 Nb 1.98-2.08
Nb: 0.2571 0.3600 0.7537  2 H 2.00-2.08
Nb: 0.2658 0.7593 0.7302  1 H 1.98
Nb: 0.2658 0.2593 0.2302  1 H 1.98
Nb: 0.7342 0.2593 0.7698  1 H 1.98
Nb: 0.7429 0.8600 0.7463  2 H 2.00-2.08
Nb: 0.2571 0.8600 0.2537  2 H 2.00-2.08
Nb: 0.7342 0.7593 0.2698  1 H 1.98
Nb: 0.7429 0.3600 0.2463  2 H 2.00-2.08

***

- Which of these has the highest uncorrected energy?
  CaNb2H

***

- The highest uncorrected energy belongs to which entry?
  CaNb2H

***

- uncorrected energy of number 1 (ZrRe5Tc)?
  -11.59 eV/atom

***

- Look up the uncorrected energy of the second one.
  -6.22 eV/atom